Density functional theory data (SCAN) for BaBe2Si2 at its PBEsol-relaxed geometry.

Computed properties:
* crystal system: tetragonal
* total energy: -68.78 eV/cell
* uncorrected formation energy: -98.4 meV per atom
* space group: I4/mmm

POSCAR file:
```
BaBe2Si2
1.0
4.214 0.000 0.000
0.000 4.214 0.000
-2.107 -2.107 4.868
Be Si Ba
2 2 1
Direct
0.250 0.750 0.500
0.750 0.250 0.500
0.370 0.370 0.740
0.630 0.630 0.260
0.000 0.000 0.000
```